Here is an optimized crystal structure of LuInFe from OQMD. Energies are from PBE.

Calculated values
energy = -4.761 eV/atom
crystal system = cubic
SG = F-43m, No. 216
V = 24.18 Å³/atom
total moment = 0.77 μB/atom

```
data_LuInFe
_chemical_formula_sum 'Lu1 In1 Fe1'
_symmetry_space_group_name_H-M 'P 1'
_symmetry_Int_Tables_number 1
_cell_length_a 4.6813
_cell_length_b 4.6813
_cell_length_c 4.6813
_cell_angle_alpha 60.00
_cell_angle_beta 60.00
_cell_angle_gamma 60.00
loop_
_symmetry_equiv_pos_as_xyz
'x,y,z'
loop_
_atom_site_label
_atom_site_type_symbol
_atom_site_fract_x
_atom_site_fract_y
_atom_site_fract_z
Lu1 Lu 0.7500 0.7500 0.7500
Fe1 Fe 0.2500 0.2500 0.2500
In1 In 0.0000 0.0000 0.0000
```

Here is an optimized crystal structure of DyCdInTe3 from OQMD. Energies are from PBE.

Calculated values
energy = -3.699 eV/atom
crystal system = orthorhombic
SG = Pnma, No. 62
V = 32.75 Å³/atom
total moment = 0.00 μB/atom

```
data_DyCdInTe3
_chemical_formula_sum 'Dy4 Cd4 In4 Te12'
_symmetry_space_group_name_H-M 'P 1'
_symmetry_Int_Tables_number 1
_cell_length_a 11.6281
_cell_length_b 4.4590
_cell_length_c 15.1585
_cell_angle_alpha 90.00
_cell_angle_beta 90.00
_cell_angle_gamma 90.00
loop_
_symmetry_equiv_pos_as_xyz
'x,y,z'
loop_
_atom_site_label
_atom_site_type_symbol
_atom_site_fract_x
_atom_site_fract_y
_atom_site_fract_z
Cd1 Cd 0.7600 0.7500 0.7833
Cd2 Cd 0.7400 0.2500 0.2833
Cd3 Cd 0.2600 0.7500 0.7167
Cd4 Cd 0.2400 0.2500 0.2167
Te1 Te 0.2620 0.2500 0.8357
Te2 Te 0.7620 0.2500 0.6643
Te3 Te 0.5376 0.2500 0.3861
Te4 Te 0.5639 0.7500 0.8914
Te5 Te 0.0639 0.7500 0.6086
Te6 Te 0.7380 0.7500 0.1643
Te7 Te 0.9361 0.2500 0.3914
Te8 Te 0.4624 0.7500 0.6139
Te9 Te 0.2380 0.7500 0.3357
Te10 Te 0.0376 0.2500 0.1139
Te11 Te 0.4361 0.2500 0.1086
Te12 Te 0.9624 0.7500 0.8861
In1 In 0.2304 0.7500 0.0106
In2 In 0.7696 0.2500 0.9894
In3 In 0.2696 0.2500 0.5106
In4 In 0.7304 0.7500 0.4894
Dy1 Dy 0.9867 0.7500 0.2531
Dy2 Dy 0.5133 0.2500 0.7531
Dy3 Dy 0.4867 0.7500 0.2469
Dy4 Dy 0.0133 0.2500 0.7469
```